## Er2AlC (GGA-PBE)

Data for crystalline Er2AlC at its relaxed geometry.

DFT total energy: -5.546 eV/atom
Calculated formation energy: -0.023 eV/atom
Space group: R-3m
Crystal system: trigonal

Cell lengths 3.4832, 3.4832, 9.0872 Å; angles 78.95, 78.95, 60.00 degrees
Positions (direct):
1 Er 0.8829 0.8829 0.3514
2 Er 0.1171 0.1171 0.6486
3 Al 0.0000 0.0000 0.0000
4 C 0.5000 0.5000 0.5000

---

## Dy2Er3Th3 (GGA-PBE)

Data for crystalline Dy2Er3Th3 at its relaxed geometry.

DFT total energy: -5.607 eV/atom
Calculated formation energy: 0.037 eV/atom
Space group: Immm
Offset from the most stable computed form: 0.0 meV per atom
Crystal system: orthorhombic

Cell lengths 5.0147, 4.9907, 10.6877 Å; angles 103.50, 103.57, 90.00 degrees
Positions (direct):
1 Th 0.5000 0.0000 0.0000
2 Th 0.3763 0.3763 0.7527
3 Th 0.6237 0.6237 0.2473
4 Dy 0.7500 0.2500 0.5000
5 Dy 0.2500 0.7500 0.5000
6 Er 0.0000 0.5000 0.0000
7 Er 0.8755 0.8755 0.7510
8 Er 0.1245 0.1245 0.2490

---

## NbCo3P (GGA-PBE)

Data for crystalline NbCo3P at its relaxed geometry.

DFT total energy: -5.733 eV/atom
Calculated formation energy: 1.626 eV/atom
Space group: Pm-3m
Offset from the most stable computed form: 1415.4 meV per atom
Crystal system: cubic

Cell lengths 4.4432, 4.4432, 4.4432 Å; angles 90.00, 90.00, 90.00 degrees
Each line ends with the local moment (μB).
Positions (direct):
1 Co 0.5000 0.0000 0.0000  0.43
2 Co 0.0000 0.0000 0.5000  0.44
3 Co 0.0000 0.5000 0.0000  0.52
4 P 0.5000 0.5000 0.5000  0.01
5 Nb 0.0000 0.0000 0.0000  -0.26

---

## La3AlW (GGA-PBE)

Data for crystalline La3AlW at its relaxed geometry.

DFT total energy: -5.855 eV/atom
Calculated formation energy: 0.441 eV/atom
Space group: Pm-3m
Offset from the most stable computed form: 0.0 meV per atom
Crystal system: cubic

Cell lengths 5.5028, 5.5028, 5.5028 Å; angles 90.00, 90.00, 90.00 degrees
Positions (direct):
1 La 0.5000 0.0000 0.0000
2 La 0.0000 0.0000 0.5000
3 La 0.0000 0.5000 0.0000
4 W 0.0000 0.0000 0.0000
5 Al 0.5000 0.5000 0.5000

---

## HgSbOs2 (GGA-PBE)

Data for crystalline HgSbOs2 at its relaxed geometry.

DFT total energy: -6.109 eV/atom
Formation energy (no corrections): 0.61 eV/atom
Space group: Cm
Offset from the most stable computed form: 110.1 meV per atom
Crystal system: monoclinic

Cell lengths 4.0490, 4.0490, 8.3484 Å; angles 76.99, 76.99, 41.95 degrees
Positions (direct):
1 Sb 0.4735 0.4735 0.5561
2 Os 0.9390 0.9390 0.9292
3 Os 0.7058 0.7058 0.7833
4 Hg 0.3816 0.3816 0.2314

---

## KTaTc2 (GGA-PBE)

Data for crystalline KTaTc2 at its relaxed geometry.

DFT total energy: -7.059 eV/atom
Calculated formation energy: 1.361 eV/atom
Space group: F-43m
Offset from the most stable computed form: 803.3 meV per atom
Crystal system: cubic

Cell lengths 4.6366, 4.6366, 4.6366 Å; angles 60.00, 60.00, 60.00 degrees
Positions (direct):
1 Ta 0.7500 0.7500 0.7500
2 Tc 0.2500 0.2500 0.2500
3 Tc 0.0000 0.0000 0.0000
4 K 0.5000 0.5000 0.5000

---

## InAg2Cl (GGA-PBE)

Data for crystalline InAg2Cl at its relaxed geometry.

DFT total energy: -2.664 eV/atom
Formation energy (no corrections): -0.09 eV/atom
Space group: P4/mmm
Crystal system: tetragonal

Cell lengths 3.2862, 3.2862, 7.7206 Å; angles 90.00, 90.00, 90.00 degrees
Positions (direct):
1 Ag 0.0000 0.0000 0.0044
2 Ag 0.0000 0.0000 0.4956
3 Cl 0.5000 0.5000 0.2500
4 In 0.5000 0.5000 0.7500

---

## Mg3Sc (GGA-PBE)

Data for crystalline Mg3Sc at its relaxed geometry.

DFT total energy: -1.645 eV/atom
Calculated formation energy: 1.134 eV/atom
Space group: Pm-3m
Crystal system: cubic

Cell lengths 5.9814, 5.9814, 5.9814 Å; angles 90.00, 90.00, 90.00 degrees
Positions (direct):
1 Mg 0.5000 0.0000 0.0000
2 Mg 0.0000 0.5000 0.0000
3 Mg 0.0000 0.0000 0.5000
4 Sc 0.0000 0.0000 0.0000

---

## AgBPt3 (GGA-PBE)

Data for crystalline AgBPt3 at its relaxed geometry.

DFT total energy: -5.654 eV/atom
Calculated formation energy: -0.124 eV/atom
Space group: P6_3/mmc
Offset from the most stable computed form: 100.2 meV per atom
Crystal system: hexagonal

Cell lengths 5.1848, 5.7515, 5.7514 Å; angles 120.00, 90.00, 90.00 degrees
Positions (direct):
1 Pt 0.2500 0.8283 0.1716
2 Pt 0.7500 0.1717 0.3433
3 Pt 0.2500 0.3433 0.1716
4 Pt 0.7500 0.1717 0.8284
5 Pt 0.2500 0.8283 0.6567
6 Pt 0.7500 0.6567 0.8284
7 B 0.5000 0.0000 0.0000
8 B 0.0000 0.0000 0.0000
9 Ag 0.7500 0.6667 0.3334
10 Ag 0.2500 0.3333 0.6666

---

## Tb3Pr3Cd (GGA-PBE)

Data for crystalline Tb3Pr3Cd at its relaxed geometry.

DFT total energy: -4.202 eV/atom
Calculated formation energy: -0.039 eV/atom
Space group: P6_3/m
Crystal system: hexagonal

Cell lengths 5.6420, 9.5997, 9.6000 Å; angles 120.01, 90.00, 90.00 degrees
Positions (direct):
1 Tb 0.2500 0.2368 0.1790
2 Tb 0.2500 0.9421 0.7632
3 Tb 0.7500 0.0579 0.2368
4 Tb 0.2500 0.8210 0.0577
5 Tb 0.7500 0.1790 0.9423
6 Tb 0.7500 0.7632 0.8210
7 Cd 0.7500 0.3333 0.6667
8 Cd 0.2500 0.6667 0.3333
9 Pr 0.7500 0.4738 0.3671
10 Pr 0.7500 0.6330 0.1066
11 Pr 0.2500 0.3670 0.8934
12 Pr 0.7500 0.8935 0.5264
13 Pr 0.2500 0.1065 0.4736
14 Pr 0.2500 0.5262 0.6329

---

## Sc2BiSe (GGA-PBE)

Data for crystalline Sc2BiSe at its relaxed geometry.

DFT total energy: -5.704 eV/atom
Formation energy (no corrections): -0.70 eV/atom
Space group: R-3m
Offset from the most stable computed form: 409.8 meV per atom
Crystal system: trigonal

Cell lengths 9.2095, 9.2095, 9.2095 Å; angles 23.14, 23.14, 23.14 degrees
Each line ends with the local moment (μB).
Positions (direct):
1 Se 0.5000 0.5000 0.5000  -0.01
2 Sc 0.1080 0.1080 0.1080  0.13
3 Sc 0.8920 0.8920 0.8920  0.13
4 Bi 0.0000 0.0000 0.0000  -0.01

---

## La2HPdPt (GGA-PBE)

Data for crystalline La2HPdPt at its relaxed geometry.

DFT total energy: -5.673 eV/atom
Space group: P4/mmm
Offset from the most stable computed form: 29.9 meV per atom
Crystal system: tetragonal

Cell lengths 5.2349, 5.2349, 3.7434 Å; angles 90.00, 90.00, 90.00 degrees
Positions (direct):
1 Pd 0.5000 0.5000 0.5000
2 La 0.0000 0.5000 0.0000
3 La 0.5000 0.0000 0.0000
4 Pt 0.0000 0.0000 0.5000
5 H 0.0000 0.0000 0.0000